Compound: Ca2BeCoTc
Source: Alexandria
Functional: PBE
Structure: optimized geometry

a = 5.3001 Å, b = 5.3001 Å, c = 4.3270 Å
α = 90.00°, β = 90.00°, γ = 90.00°
With the nearest neighbours (Å) after each atom.
Fractional positions:
Ca 0.0000 0.5000 0.0000  2 Co 2.65
Ca 0.5000 0.0000 0.0000  2 Co 2.65
Be 0.0000 0.0000 0.5000  8 Ca 3.42, 4 Tc 3.75
Co 0.5000 0.5000 0.0000  2 Tc 2.16
Tc 0.5000 0.5000 0.5000  2 Co 2.16

Calculated values
Total magnetic moment   1.45 μB/cell
Formation energy   0.867 eV per atom
Calculated volume   24.3 Å³/atom
Crystal system   tetragonal


Compound: Hf2BeGa2
Source: Alexandria
Functional: PBE
Structure: optimized geometry

a = 5.2850 Å, b = 5.2850 Å, c = 9.6713 Å
α = 114.76°, β = 114.76°, γ = 43.04°
With the nearest neighbours (Å) after each atom.
Fractional positions:
Hf 0.0051 0.0051 0.1760  6 Ga 2.74-2.94, 3 Be 2.80-2.87
Hf 0.1873 0.1873 0.6084  6 Ga 2.78-2.89, 2 Be 2.81
Hf 0.8127 0.8127 0.3916  6 Ga 2.78-2.89, 2 Be 2.81
Hf 0.9949 0.9949 0.8240  6 Ga 2.74-2.94, 3 Be 2.80-2.87
Be 0.2876 0.2876 0.1707  4 Ga 2.31-2.55
Be 0.7124 0.7124 0.8293  4 Ga 2.31-2.55
Ga 0.3450 0.3450 0.9385  3 Be 2.31-2.55
Ga 0.4726 0.4726 0.6153  1 Be 2.33, 1 Ga 2.52
Ga 0.5274 0.5274 0.3846  1 Be 2.33, 1 Ga 2.52
Ga 0.6550 0.6550 0.0615  3 Be 2.31-2.55

Calculated values
Total magnetic moment   0.00 μB/cell
Energy above the lowest structure with this stoichiometry   0.0 meV/atom
Formation energy   -0.443 eV per atom
Calculated volume   16.5 Å³/atom
Crystal system   monoclinic


Compound: CrNiPd2Se6
Source: Alexandria
Functional: PBE
Structure: optimized geometry

a = 8.7622 Å, b = 8.7622 Å, c = 5.3834 Å
α = 99.67°, β = 99.67°, γ = 93.05°
With the nearest neighbours (Å) after each atom.
Fractional positions:
Cr 0.0872 0.9128 0.7500  6 Se 2.41-2.54
Cr 0.9128 0.0872 0.2500  6 Se 2.41-2.54
Ni 0.1824 0.8176 0.2500  4 Se 2.32-2.34
Ni 0.8176 0.1824 0.7500  4 Se 2.32-2.34
Pd 0.2604 0.5034 0.1643  3 Se 2.52-2.66, 1 Pd 2.77
Pd 0.4966 0.7396 0.3357  3 Se 2.52-2.66, 1 Pd 2.77
Pd 0.5034 0.2604 0.6643  3 Se 2.52-2.66, 1 Pd 2.77
Pd 0.7396 0.4966 0.8357  3 Se 2.52-2.66, 1 Pd 2.77
Se 0.0630 0.6517 0.8783  1 Ni 2.32, 1 Cr 2.51
Se 0.0702 0.1888 0.6639  1 Ni 2.34, 2 Cr 2.41-2.54
Se 0.1888 0.0702 0.1639  1 Ni 2.34, 2 Cr 2.41-2.54
Se 0.3170 0.4696 0.6886  1 Se 2.49, 2 Pd 2.52-2.66
Se 0.3483 0.9370 0.6217  1 Ni 2.32, 1 Cr 2.51
Se 0.4696 0.3170 0.1886  1 Se 2.49, 2 Pd 2.52-2.66
Se 0.5304 0.6830 0.8114  1 Se 2.49, 2 Pd 2.52-2.66
Se 0.6517 0.0630 0.3783  1 Ni 2.32, 1 Cr 2.51
Se 0.6830 0.5304 0.3114  1 Se 2.49, 2 Pd 2.52-2.66
Se 0.8112 0.9298 0.8361  1 Ni 2.34, 2 Cr 2.41-2.54
Se 0.9298 0.8112 0.3361  1 Ni 2.34, 2 Cr 2.41-2.54
Se 0.9370 0.3483 0.1217  1 Ni 2.32, 1 Cr 2.51

Calculated values
Total magnetic moment   4.35 μB/cell
Final energy   -96.4 eV per cell
Calculated volume   20.0 Å³/atom
Crystal system   monoclinic


Compound: NaAl2SiTc
Source: Alexandria
Functional: PBE
Structure: optimized geometry

a = 4.8288 Å, b = 4.8288 Å, c = 4.6425 Å
α = 90.00°, β = 90.00°, γ = 90.00°
With the nearest neighbours (Å) after each atom.
Fractional positions:
Na 0.0000 0.0000 0.0000  8 Al 3.35, 4 Si 3.41
Al 0.0000 0.5000 0.5000  2 Tc 2.41
Al 0.5000 0.0000 0.5000  2 Tc 2.41
Si 0.5000 0.5000 0.0000  2 Tc 2.32
Tc 0.5000 0.5000 0.5000  2 Si 2.32, 4 Al 2.41

Calculated values
Total magnetic moment   0.00 μB/cell
Final energy   -24.8 eV per cell
Calculated volume   21.6 Å³/atom
Crystal system   tetragonal


Compound: EuLuAl2
Source: Alexandria
Functional: PBE
Structure: optimized geometry

a = 3.6528 Å, b = 3.6528 Å, c = 7.2991 Å
α = 90.00°, β = 90.00°, γ = 90.00°
With the nearest neighbours (Å) after each atom.
Fractional positions:
Eu 0.0000 0.0000 0.0000  8 Al 3.29, 2 Lu 3.65, 4 Eu 3.65
Lu 0.0000 0.0000 0.5000  8 Al 3.04
Al 0.5000 0.5000 0.2797  4 Lu 3.04, 1 Al 3.22, 4 Eu 3.29
Al 0.5000 0.5000 0.7203  4 Lu 3.04, 1 Al 3.22, 4 Eu 3.29

Calculated values
Total magnetic moment   7.17 μB/cell
Energy above the lowest structure with this stoichiometry   0.0 meV/atom
Formation energy   -0.315 eV per atom
Calculated volume   24.3 Å³/atom
Crystal system   tetragonal


Compound: CsSn2IrF
Source: Alexandria
Functional: PBE
Structure: optimized geometry

a = 4.9548 Å, b = 4.9548 Å, c = 9.7345 Å
α = 90.00°, β = 90.00°, γ = 90.00°
With the nearest neighbours (Å) after each atom.
Fractional positions:
Cs 0.0000 0.0000 0.0000  4 F 3.50
Sn 0.0000 0.5000 0.5000  2 Ir 2.48
Sn 0.5000 0.0000 0.5000  2 Ir 2.48
Ir 0.5000 0.5000 0.5000  4 Sn 2.48
F 0.5000 0.5000 0.0000  4 Cs 3.50

Calculated values
Total magnetic moment   0.00 μB/cell
Final energy   -22.0 eV per cell
Calculated volume   47.8 Å³/atom
Crystal system   tetragonal


Compound: Tb2GeRu
Source: Alexandria
Functional: PBE
Structure: optimized geometry

a = 3.4833 Å, b = 3.4833 Å, c = 7.1333 Å
α = 90.00°, β = 90.00°, γ = 90.00°
With the nearest neighbours (Å) after each atom.
Fractional positions:
Tb 0.0000 0.0000 0.2337  4 Ru 2.97, 4 Ge 3.11
Tb 0.0000 0.0000 0.7663  4 Ru 2.97, 4 Ge 3.11
Ge 0.5000 0.5000 0.5000  8 Tb 3.11, 4 Ge 3.48
Ru 0.5000 0.5000 0.0000  8 Tb 2.97

Calculated values
Total magnetic moment   0.00 μB/cell
Formation energy   -0.514 eV per atom
Calculated volume   21.6 Å³/atom
Crystal system   tetragonal


Compound: LiCuW
Source: Alexandria
Functional: PBE
Structure: optimized geometry

a = 3.2842 Å, b = 3.2842 Å, c = 10.0991 Å
α = 90.00°, β = 90.00°, γ = 120.00°
With the nearest neighbours (Å) after each atom.
Fractional positions:
Li 0.3333 0.6667 0.2500  3 Cu 1.90
Li 0.6667 0.3333 0.7500  3 Cu 1.90
Cu 0.0000 0.0000 0.2500  3 Li 1.90
Cu 0.0000 0.0000 0.7500  3 Li 1.90
W 0.0000 0.0000 0.0000  2 Cu 2.52
W 0.0000 0.0000 0.5000  2 Cu 2.52

Calculated values
Total magnetic moment   0.00 μB/cell
Energy above the lowest structure with this stoichiometry   1438.0 meV/atom
Formation energy   1.778 eV per atom
Calculated volume   15.7 Å³/atom
Crystal system   hexagonal